(1)
Material: NaMoPt
Method: DFT, PBE
State: optimized geometry

Cell: 4.3412 4.3412 4.3412 Å, 60.00 60.00 60.00°
Fractional positions:
1 Na 0.0000 0.0000 0.0000
2 Mo 0.5000 0.5000 0.5000
3 Pt 0.7500 0.7500 0.7500

Results
For the volume, the calculation gives 19.28 Å³ per atom. As for the relative energy among the computed polymorphs: 0 meV per atom.

=====

(2)
Material: NaPuMo
Method: DFT, PBE
State: optimized geometry

Cell: 4.6457 4.6457 4.6457 Å, 60.00 60.00 60.00°
Fractional positions:
1 Na 0.0000 0.0000 0.0000
2 Pu 0.7500 0.7500 0.7500
3 Mo 0.5000 0.5000 0.5000

Results
For the volume, the calculation gives 23.63 Å³ per atom. As for the total DFT energy (no corrections): -7.20 eV/atom.

=====

(3)
Material: RbNaTe3Mo
Method: DFT, PBE
State: optimized geometry

Cell: 8.4874 8.4874 11.1204 Å, 90.00 90.00 151.09°
Fractional positions:
1 Rb 0.2422 0.7578 0.7500
2 Rb 0.7578 0.2422 0.2500
3 Na 0.4543 0.5457 0.2500
4 Na 0.5457 0.4543 0.7500
5 Te 0.0721 0.9279 0.2500
6 Te 0.3845 0.6155 0.0154
7 Te 0.3845 0.6155 0.4846
8 Te 0.6155 0.3845 0.5154
9 Te 0.6155 0.3845 0.9846
10 Te 0.9279 0.0721 0.7500
11 Mo 0.0000 0.0000 0.0000
12 Mo 0.0000 0.0000 0.5000

Results
For the volume, the calculation gives 32.27 Å³ per atom. As for the total DFT energy (no corrections): -4.06 eV/atom.